# 1
First-principles (GGA-PBE) data for a geometry-optimized RbPuTl2 structure, as listed in the Alexandria database.

Calculated values
The formation energy is 0.15 eV per atom. As for the crystal system: trigonal.

```
data_RbPuTl2
_chemical_formula_sum 'Rb3 Pu3 Tl6'
_cell_length_a 3.6634
_cell_length_b 3.6634
_cell_length_c 34.7307
_cell_angle_alpha 90.00
_cell_angle_beta 90.00
_cell_angle_gamma 120.00
_symmetry_space_group_name_H-M 'R -3 m'
_symmetry_Int_Tables_number 166
_symmetry_space_group_name_Hall '-R 3 2"'
loop_
_atom_site_label
_atom_site_fract_x
_atom_site_fract_y
_atom_site_fract_z
Rb1 0.0000 0.0000 0.0000
Pu1 0.0000 0.0000 0.5000
Tl1 0.0000 0.0000 0.2433
```



# 2
First-principles (GGA-PBE) data for a geometry-optimized PuRe6 structure, as listed in the Alexandria database.

Calculated values
The formation energy is 1.14 eV per atom. As for the crystal system: cubic.

```
data_PuRe6
_chemical_formula_sum 'Pu2 Re12'
_cell_length_a 6.906
_cell_length_b 6.906
_cell_length_c 6.906
_cell_angle_alpha 90.00
_cell_angle_beta 90.00
_cell_angle_gamma 90.00
_symmetry_space_group_name_H-M 'I m -3 m'
_symmetry_Int_Tables_number 229
_symmetry_space_group_name_Hall '-I 4 2 3'
loop_
_atom_site_label
_atom_site_fract_x
_atom_site_fract_y
_atom_site_fract_z
Pu1 0.000 0.000 0.000
Re1 0.000 0.250 0.500
```



| no. | V (Å³/cell) |
| --- | --- |
| 1 | 403.7 |
| 2 | 329.3 |